## Be2InPd2 (PBE-GGA)

Data for a relaxed structure of Be2InPd2.

Cell: 6.7275 6.7275 2.9541 Å, 90.00 90.00 90.00°
Last column: nearest neighbours and their distance in Å.
Element x y z (fractional)
1 Be 0.1197 0.3803 0.0000  1 Be 2.28, 6 Pd 2.43-2.53
2 Be 0.3803 0.8803 0.0000  1 Be 2.28, 6 Pd 2.43-2.53
3 Be 0.6197 0.1197 0.0000  1 Be 2.28, 6 Pd 2.43-2.53
4 Be 0.8803 0.6197 0.0000  1 Be 2.28, 6 Pd 2.43-2.53
5 In 0.0000 0.0000 0.0000  4 Be 2.68, 8 Pd 2.92, 2 In 2.95
6 In 0.5000 0.5000 0.0000  4 Be 2.68, 8 Pd 2.92, 2 In 2.95
7 Pd 0.1639 0.6639 0.5000  6 Be 2.43-2.53
8 Pd 0.3361 0.1639 0.5000  6 Be 2.43-2.53
9 Pd 0.6639 0.8361 0.5000  6 Be 2.43-2.53
10 Pd 0.8361 0.3361 0.5000  6 Be 2.43-2.53

**Energy**: -4.52 eV per atom
**Distance to the lowest polymorph of the same formula**: 0 meV/atom
**Mass density**: 8.59 g cm⁻³
**DFT formation energy**: -408.8 meV/atom
**Density of states at the Fermi level**: 1.59 states/eV/f.u.
**Total moment**: 0.0 μB/f.u.

---

## DyCu6 (PBE-GGA)

Data for a relaxed structure of DyCu6.

Cell: 7.9698 5.0492 10.0109 Å, 90.00 90.00 90.00°
Last column: nearest neighbours and their distance in Å.
Element x y z (fractional)
1 Dy 0.2418 0.2500 0.0647  13 Cu 2.86-3.20
2 Dy 0.2582 0.7500 0.5647  13 Cu 2.86-3.20
3 Dy 0.7418 0.2500 0.4353  13 Cu 2.86-3.20
4 Dy 0.7582 0.7500 0.9353  13 Cu 2.86-3.20
5 Cu 0.0643 0.7500 0.0925  5 Cu 2.47-2.61
6 Cu 0.0654 0.0070 0.3086  9 Cu 2.44-2.65
7 Cu 0.0654 0.4930 0.3086  9 Cu 2.44-2.65
8 Cu 0.1006 0.2500 0.5178  6 Cu 2.44-2.60
9 Cu 0.1461 0.7500 0.8548  8 Cu 2.47-2.72
10 Cu 0.1828 0.2500 0.7574  9 Cu 2.44-2.72
11 Cu 0.3172 0.7500 0.2574  9 Cu 2.44-2.72
12 Cu 0.3539 0.2500 0.3548  8 Cu 2.47-2.72
13 Cu 0.3994 0.7500 0.0178  6 Cu 2.44-2.60
14 Cu 0.4346 0.5070 0.8086  9 Cu 2.44-2.65
15 Cu 0.4346 0.9930 0.8086  9 Cu 2.44-2.65
16 Cu 0.4357 0.2500 0.5925  5 Cu 2.47-2.61
17 Cu 0.5643 0.7500 0.4075  5 Cu 2.47-2.61
18 Cu 0.5654 0.0070 0.1914  9 Cu 2.44-2.65
19 Cu 0.5654 0.4930 0.1914  9 Cu 2.44-2.65
20 Cu 0.6006 0.2500 0.9822  6 Cu 2.44-2.60
21 Cu 0.6461 0.7500 0.6452  8 Cu 2.47-2.72
22 Cu 0.6828 0.2500 0.7426  9 Cu 2.44-2.72
23 Cu 0.8172 0.7500 0.2426  9 Cu 2.44-2.72
24 Cu 0.8539 0.2500 0.1452  8 Cu 2.47-2.72
25 Cu 0.8994 0.7500 0.4822  6 Cu 2.44-2.60
26 Cu 0.9346 0.5070 0.6914  9 Cu 2.44-2.65
27 Cu 0.9346 0.9930 0.6914  9 Cu 2.44-2.65
28 Cu 0.9357 0.2500 0.9075  5 Cu 2.47-2.61

**Energy**: -4.33 eV per atom
**Distance to the lowest polymorph of the same formula**: 0 meV/atom
**Mass density**: 8.97 g cm⁻³
**DFT formation energy**: -162.4 meV/atom
**Density of states at the Fermi level**: 2.27 states/eV/f.u.
**Total moment**: 0.0 μB/f.u.

---

## EuZnSb (PBE-GGA)

Data for a relaxed structure of EuZnSb.

Cell: 4.5162 4.5162 4.5312 Å, 90.00 90.00 120.00°
Last column: nearest neighbours and their distance in Å.
Element x y z (fractional)
1 Eu 0.0000 0.0000 0.0000  3 Zn 3.18, 6 Sb 3.37-3.55
2 Zn 0.3333 0.6667 0.4007  3 Sb 2.67
3 Sb 0.6667 0.3333 0.5303  3 Zn 2.67

**Energy**: -5.85 eV per atom
**Mass density**: 7.04 g cm⁻³
**Density of states at the Fermi level**: 9.10 states/eV/f.u.
**Energy relative to the elements, uncorrected**: -0.62 eV/atom
**Total moment**: 7.2 μB/f.u.

---

## Na8B11C5 (PBE-GGA)

Data for a relaxed structure of Na8B11C5.

Cell: 4.9888 5.8187 9.0611 Å, 71.30 89.97 89.97°
Last column: nearest neighbours and their distance in Å.
Element x y z (fractional)
1 Na 0.0000 0.0000 0.0000  8 B 2.70-2.77, 4 C 2.70-2.72, 6 Na 2.89-2.91
2 Na 0.0000 0.2511 0.4966  8 B 2.70-2.76, 4 C 2.70-2.73, 6 Na 2.88-2.91
3 Na 0.0007 0.4988 0.0009  9 B 2.66-2.83, 3 C 2.70-2.77, 6 Na 2.88-2.91
4 Na 0.0005 0.7513 0.4955  9 B 2.66-2.82, 3 C 2.70-2.78, 6 Na 2.88-2.91
5 Na 0.4984 0.0015 0.4971  8 B 2.66-2.76, 4 C 2.70-2.73, 6 Na 2.88-2.91
6 Na 0.4992 0.2499 0.0007  9 B 2.66-2.82, 3 C 2.72-2.77, 6 Na 2.88-2.91
7 Na 0.5004 0.7513 0.9972  7 B 2.67-2.74, 5 C 2.68-2.72, 6 Na 2.89-2.91
8 Na 0.5012 0.5014 0.4981  8 B 2.64-2.81, 4 C 2.70-2.76, 6 Na 2.88-2.91
9 B 0.1626 0.6260 0.2476  3 C 1.64-1.66
10 B 0.1797 0.1253 0.2489  2 C 1.67, 1 B 1.70
11 B 0.1800 0.3779 0.7476  3 B 1.66-1.86
12 B 0.3082 0.6406 0.7483  1 C 1.56, 1 B 1.66
13 B 0.3358 0.1167 0.7483  2 C 1.59-1.68, 1 B 1.70
14 B 0.6557 0.3875 0.2488  2 C 1.60-1.64, 1 B 1.78
15 B 0.6557 0.8642 0.2474  2 C 1.60-1.64, 1 B 1.78
16 B 0.6807 0.6239 0.7485  2 B 1.66-1.70
17 B 0.8083 0.3608 0.7479  1 C 1.56, 1 B 1.66
18 B 0.8363 0.8844 0.7491  2 C 1.59-1.68, 1 B 1.70
19 B 0.8385 0.1253 0.2491  3 B 1.70-1.78
20 C 0.1731 0.8818 0.7492  3 B 1.56-1.68
21 C 0.3342 0.3807 0.2488  3 B 1.60-1.67
22 C 0.3342 0.8710 0.2475  3 B 1.60-1.67
23 C 0.6733 0.1192 0.7484  3 B 1.56-1.68
24 C 0.8330 0.6262 0.2473  3 B 1.64

**Energy**: -5.28 eV per atom
**Distance to the lowest polymorph of the same formula**: 40 meV/atom
**Mass density**: 2.42 g cm⁻³
**DFT formation energy**: 141.3 meV/atom
**Density of states at the Fermi level**: 2.45 states/eV/f.u.
**Total moment**: 0.0 μB/f.u.

---

Question: What is the density of states at the Fermi level in the fourth record?
Answer: 2.45 states/eV/f.u.

---

Question: mass density of number 1 (Be2InPd2)?
Answer: 8.59 g cm⁻³

---

Question: Which of these has the highest energy?
Answer: DyCu6

---

Question: total moment of number 3 (EuZnSb)?
Answer: 7.2 μB/f.u.